## YPaCu4 (GGA-PBE)

Data for a geometry-optimized YPaCu4 structure.

Results
Space group: No. 216
N(E_F): 6.355 states/eV/f.u.
ΔE_f: -0.016 eV per atom
Crystal system: cubic

a = 5.2268 Å, b = 5.2268 Å, c = 5.2268 Å
α = 60.00°, β = 60.00°, γ = 60.00°
Fractional positions:
1 Pa 0.2500 0.2500 0.2500
2 Cu 0.6250 0.6250 0.1249
3 Cu 0.1249 0.6250 0.6250
4 Cu 0.6250 0.6250 0.6250
5 Cu 0.6250 0.1249 0.6250
6 Y 0.0000 0.0000 0.0000


## Pm4In2Ni (GGA-PBE)

Data for a geometry-optimized Pm4In2Ni structure.

Results
Space group: No. 12
N(E_F): 6.723 states/eV/f.u.
ΔE_f: -0.237 eV per atom
Crystal system: monoclinic
Relative energy among the computed polymorphs: 0 meV per atom

a = 3.7755 Å, b = 6.6156 Å, c = 9.1378 Å
α = 111.83°, β = 101.92°, γ = 90.00°
Fractional positions:
1 Pm 0.3821 0.7225 0.7641
2 Pm 0.9165 0.2527 0.8331
3 Pm 0.6179 0.2775 0.2359
4 Pm 0.0835 0.7473 0.1669
5 Ni 0.0000 0.0000 0.0000
6 In 0.7418 0.8015 0.4835
7 In 0.2582 0.1985 0.5165